# 1
Material: BaLi2Au2
Method: DFT, GGA-PBEsol
State: optimized geometry

Summary:
Its crystal system is tetragonal. The calculation puts the size of the total moment at 0.000 μB per atom. Its formation energy is -2.6 eV per formula unit.

Cell and atoms, written as CIF:
```
data_BaLi2Au2
_cell_length_a 4.325
_cell_length_b 4.325
_cell_length_c 12.148
_cell_angle_alpha 90.00
_cell_angle_beta 90.00
_cell_angle_gamma 90.00
_symmetry_space_group_name_H-M 'I 4/m m m'
_symmetry_Int_Tables_number 139
_symmetry_space_group_name_Hall '-I 4 2'
loop_
_atom_site_label
_atom_site_fract_x
_atom_site_fract_y
_atom_site_fract_z
Ba1 0.000 0.000 0.000
Li1 0.000 0.500 0.250
Au1 0.000 0.000 0.383
```


# 2
Material: La17Cd12
Method: DFT, GGA-PBEsol
State: optimized geometry

Summary:
Its crystal system is cubic. The calculation puts the size of the total moment at 0.000 μB per atom. Its formation energy is -7.8 eV per formula unit.

Cell and atoms, written as CIF:
```
data_La17Cd12
_cell_length_a 11.698
_cell_length_b 11.698
_cell_length_c 11.698
_cell_angle_alpha 90.00
_cell_angle_beta 90.00
_cell_angle_gamma 90.00
_symmetry_space_group_name_H-M 'I -4 3 m'
_symmetry_Int_Tables_number 217
_symmetry_space_group_name_Hall 'I -4 2 3'
loop_
_atom_site_label
_atom_site_fract_x
_atom_site_fract_y
_atom_site_fract_z
La1 0.000 0.000 0.000
La2 0.059 0.360 0.640
La3 0.177 0.177 0.177
Cd1 0.092 0.092 0.729
```


# 3
Material: SbTeS2Cl
Method: DFT, GGA-PBEsol
State: optimized geometry

Summary:
Its crystal system is tetragonal. The calculation puts the formation energy from raw total energies at 1.523 eV per formula unit. The calculation puts the size of the total moment at 0.000 μB per atom.

Cell and atoms, written as CIF:
```
data_SbTeS2Cl
_cell_length_a 5.082
_cell_length_b 5.082
_cell_length_c 4.931
_cell_angle_alpha 90.00
_cell_angle_beta 90.00
_cell_angle_gamma 90.00
_symmetry_space_group_name_H-M 'P 4/m m m'
_symmetry_Int_Tables_number 123
_symmetry_space_group_name_Hall '-P 4 2'
loop_
_atom_site_label
_atom_site_fract_x
_atom_site_fract_y
_atom_site_fract_z
Sb1 0.000 0.000 0.000
Te1 0.500 0.500 0.500
S1 0.000 0.500 0.000
Cl1 0.000 0.000 0.500
```


# 4
Material: Na2H6Pt
Method: DFT, GGA-PBEsol
State: optimized geometry

Summary:
Its crystal system is cubic. The calculation puts the size of the total moment at 0.000 μB per atom. For the total energy, the calculation gives -131.6 eV for the cell shown.

Cell and atoms, written as CIF:
```
data_Na2H6Pt
_cell_length_a 7.132
_cell_length_b 7.132
_cell_length_c 7.132
_cell_angle_alpha 90.00
_cell_angle_beta 90.00
_cell_angle_gamma 90.00
_symmetry_space_group_name_H-M 'F m -3 m'
_symmetry_Int_Tables_number 225
_symmetry_space_group_name_Hall '-F 4 2 3'
loop_
_atom_site_label
_atom_site_fract_x
_atom_site_fract_y
_atom_site_fract_z
Na1 0.250 0.250 0.250
H1 0.000 0.000 0.231
Pt1 0.000 0.000 0.000
```


# 5
Material: KNdPdO3
Method: DFT, GGA-PBEsol
State: optimized geometry

Summary:
Its crystal system is monoclinic. The calculation puts the formation energy from raw total energies at -11.845 eV per formula unit. The calculation puts the size of the total moment at 0.000 μB per atom.

Cell and atoms, written as CIF:
```
data_KNdPdO3
_cell_length_a 13.160
_cell_length_b 3.915
_cell_length_c 7.397
_cell_angle_alpha 90.00
_cell_angle_beta 105.01
_cell_angle_gamma 90.00
_symmetry_space_group_name_H-M 'C 1 2/m 1'
_symmetry_Int_Tables_number 12
_symmetry_space_group_name_Hall '-C 2y'
loop_
_atom_site_label
_atom_site_fract_x
_atom_site_fract_y
_atom_site_fract_z
K1 0.143 0.000 0.065
Nd1 0.150 0.000 0.579
Pd1 0.007 0.500 0.274
O1 0.007 0.000 0.308
O2 0.152 0.500 0.781
O3 0.168 0.500 0.365
```


# 6
Material: ReI2O
Method: DFT, GGA-PBEsol
State: optimized geometry

Summary:
Its crystal system is cubic. The calculation puts the formation energy from raw total energies at 3.644 eV per formula unit. The calculation puts the size of the total moment at 0.257 μB per atom.

Cell and atoms, written as CIF:
```
data_ReI2O
_cell_length_a 6.487
_cell_length_b 6.487
_cell_length_c 6.487
_cell_angle_alpha 90.00
_cell_angle_beta 90.00
_cell_angle_gamma 90.00
_symmetry_space_group_name_H-M 'F m -3 m'
_symmetry_Int_Tables_number 225
_symmetry_space_group_name_Hall '-F 4 2 3'
loop_
_atom_site_label
_atom_site_fract_x
_atom_site_fract_y
_atom_site_fract_z
Re1 0.000 0.000 0.000
I1 0.250 0.250 0.250
O1 0.000 0.000 0.500
```


# 7
Material: SnPt2Cl
Method: DFT, GGA-PBEsol
State: optimized geometry

Summary:
Its crystal system is cubic. The calculation puts the formation energy from raw total energies at 0.573 eV per formula unit. The calculation puts the size of the total moment at 0.000 μB per atom.

Cell and atoms, written as CIF:
```
data_SnPt2Cl
_cell_length_a 6.511
_cell_length_b 6.511
_cell_length_c 6.511
_cell_angle_alpha 90.00
_cell_angle_beta 90.00
_cell_angle_gamma 90.00
_symmetry_space_group_name_H-M 'F m -3 m'
_symmetry_Int_Tables_number 225
_symmetry_space_group_name_Hall '-F 4 2 3'
loop_
_atom_site_label
_atom_site_fract_x
_atom_site_fract_y
_atom_site_fract_z
Sn1 0.000 0.000 0.000
Pt1 0.250 0.250 0.250
Cl1 0.000 0.000 0.500
```


# 8
Material: InIr2Cl
Method: DFT, GGA-PBEsol
State: optimized geometry

Summary:
The energy above the most stable polymorph in this dataset comes out at 30.3 kJ/mol of atoms. Its crystal system is tetragonal. The calculation puts the formation energy from raw total energies at 3.026 eV per formula unit. The calculation puts the size of the total moment at 0.000 μB per atom.

Cell and atoms, written as CIF:
```
data_InIr2Cl
_cell_length_a 4.039
_cell_length_b 4.039
_cell_length_c 7.922
_cell_angle_alpha 90.00
_cell_angle_beta 90.00
_cell_angle_gamma 90.00
_symmetry_space_group_name_H-M 'I 4/m m m'
_symmetry_Int_Tables_number 139
_symmetry_space_group_name_Hall '-I 4 2'
loop_
_atom_site_label
_atom_site_fract_x
_atom_site_fract_y
_atom_site_fract_z
In1 0.000 0.000 0.000
Ir1 0.000 0.500 0.250
Cl1 0.000 0.000 0.500
```


# 9
Material: NaWSCl2
Method: DFT, GGA-PBEsol
State: optimized geometry

Summary:
The energy above the most stable polymorph in this dataset comes out at 141.7 kJ/mol of atoms. Its crystal system is tetragonal. The calculation puts the formation energy from raw total energies at 4.807 eV per formula unit. The calculation puts the size of the total moment at 0.599 μB per atom.

Cell and atoms, written as CIF:
```
data_NaWSCl2
_cell_length_a 4.593
_cell_length_b 4.593
_cell_length_c 5.038
_cell_angle_alpha 90.00
_cell_angle_beta 90.00
_cell_angle_gamma 90.00
_symmetry_space_group_name_H-M 'P 4/m m m'
_symmetry_Int_Tables_number 123
_symmetry_space_group_name_Hall '-P 4 2'
loop_
_atom_site_label
_atom_site_fract_x
_atom_site_fract_y
_atom_site_fract_z
Na1 0.000 0.000 0.000
W1 0.500 0.500 0.500
S1 0.000 0.000 0.500
Cl1 0.000 0.500 0.000
```


# 10
Material: ZnCdIn2
Method: DFT, GGA-PBEsol
State: optimized geometry

Summary:
The energy above the most stable polymorph in this dataset comes out at 3.1 kJ/mol of atoms. Its crystal system is monoclinic. The calculation puts the size of the total moment at 0.000 μB per atom. Its formation energy is 0.4 eV per formula unit.

Cell and atoms, written as CIF:
```
data_ZnCdIn2
_cell_length_a 9.739
_cell_length_b 3.315
_cell_length_c 5.457
_cell_angle_alpha 90.00
_cell_angle_beta 102.50
_cell_angle_gamma 90.00
_symmetry_space_group_name_H-M 'C 1 2/m 1'
_symmetry_Int_Tables_number 12
_symmetry_space_group_name_Hall '-C 2y'
loop_
_atom_site_label
_atom_site_fract_x
_atom_site_fract_y
_atom_site_fract_z
Zn1 0.000 0.000 0.000
Cd1 0.000 0.500 0.500
In1 0.242 0.500 0.237
```


# 11
Material: MgTl2Cd
Method: DFT, GGA-PBEsol
State: optimized geometry

Summary:
The energy above the most stable polymorph in this dataset comes out at 1.6 kJ/mol of atoms. Its crystal system is orthorhombic. The calculation puts the size of the total moment at 0.000 μB per atom. Its formation energy is 0.0 eV per formula unit.

Cell and atoms, written as CIF:
```
data_MgTl2Cd
_cell_length_a 3.393
_cell_length_b 4.015
_cell_length_c 7.273
_cell_angle_alpha 90.00
_cell_angle_beta 90.00
_cell_angle_gamma 90.00
_symmetry_space_group_name_H-M 'P m m 2'
_symmetry_Int_Tables_number 25
_symmetry_space_group_name_Hall 'P 2 -2'
loop_
_atom_site_label
_atom_site_fract_x
_atom_site_fract_y
_atom_site_fract_z
Mg1 0.000 0.000 0.000
Tl1 0.000 0.000 0.530
Tl2 0.500 0.500 0.247
Cd1 0.500 0.500 0.788
```


# 12
Material: NiMo2Rh
Method: DFT, GGA-PBEsol
State: optimized geometry

Summary:
The energy above the most stable polymorph in this dataset comes out at 0.0 kJ/mol of atoms. Its crystal system is orthorhombic. The calculation puts the size of the total moment at 0.000 μB per atom. Its formation energy is -0.5 eV per formula unit.

Cell and atoms, written as CIF:
```
data_NiMo2Rh
_cell_length_a 2.676
_cell_length_b 4.292
_cell_length_c 4.708
_cell_angle_alpha 90.00
_cell_angle_beta 90.00
_cell_angle_gamma 90.00
_symmetry_space_group_name_H-M 'P m m 2'
_symmetry_Int_Tables_number 25
_symmetry_space_group_name_Hall 'P 2 -2'
loop_
_atom_site_label
_atom_site_fract_x
_atom_site_fract_y
_atom_site_fract_z
Ni1 0.000 0.000 0.000
Mo1 0.500 0.000 0.495
Mo2 0.500 0.500 0.152
Rh1 0.000 0.500 0.668
```


Which value of size of the total moment does entry 10 give? 0.000 μB per atom


The highest size of the total moment belongs to which entry? NaWSCl2